DFT (PBE-GGA) results for Dy2Tm2Au3 after structural relaxation.

Cell and atoms, written as POSCAR:
```
Dy2Tm2Au3
1.0
4.9870 0.0000 0.0000
-2.4925 4.3254 0.0000
-0.0259 -2.8517 8.2616
Dy Tm Au
2 2 3
Direct
0.1241 0.2486 0.3737 Dy
0.8759 0.7514 0.6263 Dy
0.3743 0.7486 0.1236 Tm
0.6257 0.2514 0.8764 Tm
0.0000 0.0000 0.0000 Au
0.2454 0.4905 0.7356 Au
0.7546 0.5095 0.2644 Au
```

Output
Total DFT energy (no corrections)   -32.92 eV/cell
Volume   25.46 A^3/atom
Space group   No. 2
Crystal system   triclinic
Theoretical density   11.7 g/cm3
DFT formation energy   -0.706 eV/atom

=====

DFT (PBE-GGA) results for DyTm4Au5 after structural relaxation.

Cell and atoms, written as POSCAR:
```
DyTm4Au5
1.0
3.5335 0.0000 0.0000
0.0000 3.5335 0.0000
0.0000 0.0000 18.0725
Dy Tm Au
1 4 5
Direct
0.0000 0.0000 0.0000 Dy
0.0000 0.0000 0.2016 Tm
0.0000 0.0000 0.4005 Tm
0.0000 0.0000 0.5995 Tm
0.0000 0.0000 0.7984 Tm
0.5000 0.5000 0.1036 Au
0.5000 0.5000 0.3011 Au
0.5000 0.5000 0.5000 Au
0.5000 0.5000 0.6989 Au
0.5000 0.5000 0.8964 Au
```

Output
Total DFT energy (no corrections)   -47.74 eV/cell
Volume   22.56 A^3/atom
Space group   No. 123
Crystal system   tetragonal
Theoretical density   13.4 g/cm3
DFT formation energy   -0.887 eV/atom

=====

DFT (PBE-GGA) results for Dy4TmAu5 after structural relaxation.

Cell and atoms, written as POSCAR:
```
Dy4TmAu5
1.0
3.5609 0.0000 0.0000
0.0000 3.5609 0.0000
0.0000 0.0000 18.2262
Dy Tm Au
4 1 5
Direct
0.0000 0.0000 0.1004 Dy
0.0000 0.0000 0.3015 Dy
0.0000 0.0000 0.6985 Dy
0.0000 0.0000 0.8996 Dy
0.0000 0.0000 0.5000 Tm
0.5000 0.5000 0.0000 Au
0.5000 0.5000 0.2010 Au
0.5000 0.5000 0.4033 Au
0.5000 0.5000 0.5967 Au
0.5000 0.5000 0.7990 Au
```

Output
Total DFT energy (no corrections)   -47.96 eV/cell
Volume   23.11 A^3/atom
Space group   No. 123
Crystal system   tetragonal
Theoretical density   13.0 g/cm3
DFT formation energy   -0.870 eV/atom

=====

DFT (PBE-GGA) results for DyTm5Au6 after structural relaxation.

Cell and atoms, written as POSCAR:
```
DyTm5Au6
1.0
-2.5301 3.5166 7.6147
2.5301 -3.5166 7.6147
2.5301 3.5166 -7.6147
Dy Tm Au
1 5 6
Direct
0.0000 0.0000 0.0000 Dy
0.1664 0.6664 0.5000 Tm
0.3332 0.3332 0.0000 Tm
0.5000 0.0000 0.5000 Tm
0.6668 0.6668 0.0000 Tm
0.8336 0.3336 0.5000 Tm
0.0839 0.8318 0.2521 Au
0.2543 0.5000 0.7543 Au
0.4203 0.1682 0.2521 Au
0.5797 0.8318 0.7479 Au
0.7457 0.5000 0.2457 Au
0.9161 0.1682 0.7479 Au
```

Output
Total DFT energy (no corrections)   -57.27 eV/cell
Volume   22.58 A^3/atom
Space group   No. 71
Crystal system   orthorhombic
Theoretical density   13.4 g/cm3
DFT formation energy   -0.887 eV/atom

=====

DFT (PBE-GGA) results for DyTmAu after structural relaxation.

Cell and atoms, written as POSCAR:
```
DyTmAu
1.0
0.0000 3.4920 3.4920
3.4920 0.0000 3.4920
3.4920 3.4920 0.0000
Dy Tm Au
1 1 1
Direct
0.0000 0.0000 0.0000 Dy
0.5000 0.5000 0.5000 Tm
0.7500 0.7500 0.7500 Au
```

Output
Total DFT energy (no corrections)   -13.75 eV/cell
Volume   28.39 A^3/atom
Space group   No. 216
Energy relative to the lowest polymorph listed for this composition   0.190 eV/atom
Crystal system   cubic
Theoretical density   10.3 g/cm3
DFT formation energy   -0.466 eV/atom

=====

DFT (PBE-GGA) results for Dy2TmAu6 after structural relaxation.

Cell and atoms, written as POSCAR:
```
Dy2TmAu6
1.0
2.6208 -8.0427 0.0000
2.6208 8.0427 0.0000
-2.5776 0.0000 4.5416
Dy Tm Au
2 1 6
Direct
0.1650 0.8350 0.0000 Dy
0.8350 0.1650 0.0000 Dy
0.5000 0.5000 0.5000 Tm
0.1570 0.1570 0.8273 Au
0.1719 0.5018 0.6670 Au
0.4982 0.8281 0.3330 Au
0.5018 0.1719 0.6670 Au
0.8281 0.4982 0.3330 Au
0.8430 0.8430 0.1727 Au
```

Output
Total DFT energy (no corrections)   -40.58 eV/cell
Volume   21.27 A^3/atom
Space group   No. 12
Crystal system   monoclinic
Theoretical density   14.5 g/cm3
DFT formation energy   -0.805 eV/atom

=====

DFT (PBE-GGA) results for DyTmAu2 after structural relaxation.

Cell and atoms, written as POSCAR:
```
DyTmAu2
1.0
0.0000 3.5785 3.5785
3.5785 0.0000 3.5785
3.5785 3.5785 0.0000
Dy Tm Au
1 1 2
Direct
0.0000 0.0000 0.0000 Dy
0.5000 0.5000 0.5000 Tm
0.2500 0.2500 0.2500 Au
0.7500 0.7500 0.7500 Au
```

Output
Total DFT energy (no corrections)   -19.11 eV/cell
Volume   22.91 A^3/atom
Space group   No. 225
Energy relative to the lowest polymorph listed for this composition   0.022 eV/atom
Crystal system   cubic
Theoretical density   13.1 g/cm3
DFT formation energy   -0.870 eV/atom

=====

DFT (PBE-GGA) results for DyTm2Au6 after structural relaxation.

Cell and atoms, written as POSCAR:
```
DyTm2Au6
1.0
2.6099 -7.9957 0.0000
2.6099 7.9957 0.0000
-2.5591 0.0000 4.5367
Dy Tm Au
1 2 6
Direct
0.0000 0.0000 0.0000 Dy
0.3344 0.6656 0.5000 Tm
0.6656 0.3344 0.5000 Tm
0.0028 0.6693 0.1683 Au
0.3307 0.9972 0.8317 Au
0.3438 0.3438 0.6715 Au
0.6562 0.6562 0.3285 Au
0.6693 0.0028 0.1683 Au
0.9972 0.3307 0.8317 Au
```

Output
Total DFT energy (no corrections)   -40.49 eV/cell
Volume   21.04 A^3/atom
Space group   No. 12
Crystal system   monoclinic
Theoretical density   14.8 g/cm3
DFT formation energy   -0.809 eV/atom

=====

DFT (PBE-GGA) results for DyTmAu after structural relaxation.

Cell and atoms, written as POSCAR:
```
DyTmAu
1.0
4.8789 0.0000 0.0000
-2.4394 4.2252 0.0000
0.0000 0.0000 3.7831
Dy Tm Au
1 1 1
Direct
0.0000 0.0000 0.0000 Dy
0.3333 0.6667 0.4746 Tm
0.6667 0.3333 0.7136 Au
```

Output
Total DFT energy (no corrections)   -13.65 eV/cell
Volume   26.00 A^3/atom
Space group   No. 156
Energy relative to the lowest polymorph listed for this composition   0.224 eV/atom
Crystal system   trigonal
Theoretical density   11.3 g/cm3
DFT formation energy   -0.431 eV/atom

=====

DFT (PBE-GGA) results for Dy3Tm3Au4 after structural relaxation.

Cell and atoms, written as POSCAR:
```
Dy3Tm3Au4
1.0
3.7625 0.0000 0.0000
0.0000 5.7906 5.7112
0.0000 -5.7906 5.7112
Dy Tm Au
3 3 4
Direct
0.0000 0.0000 0.0000 Dy
0.0000 0.1773 0.5030 Dy
0.0000 0.5030 0.1773 Dy
0.0000 0.6750 0.6750 Tm
0.5000 0.3394 0.8396 Tm
0.5000 0.8396 0.3394 Tm
0.5000 0.2047 0.2047 Au
0.5000 0.4751 0.4751 Au
0.5000 0.7026 0.9696 Au
0.5000 0.9696 0.7026 Au
```

Output
Total DFT energy (no corrections)   -47.45 eV/cell
Volume   24.89 A^3/atom
Space group   No. 38
Crystal system   orthorhombic
Theoretical density   11.9 g/cm3
DFT formation energy   -0.712 eV/atom

=====

DFT (PBE-GGA) results for Dy2TmAu3 after structural relaxation.

Cell and atoms, written as POSCAR:
```
Dy2TmAu3
1.0
5.0633 0.0000 0.0000
-2.5317 4.3850 0.0000
0.0000 0.0000 6.2318
Dy Tm Au
2 1 3
Direct
0.3333 0.6667 0.1684 Dy
0.6667 0.3333 0.8316 Dy
0.0000 0.0000 0.5000 Tm
0.0000 0.0000 0.0000 Au
0.3333 0.6667 0.6632 Au
0.6667 0.3333 0.3368 Au
```

Output
Total DFT energy (no corrections)   -28.74 eV/cell
Volume   23.06 A^3/atom
Space group   No. 164
Energy relative to the lowest polymorph listed for this composition   0.003 eV/atom
Crystal system   trigonal
Theoretical density   13.0 g/cm3
DFT formation energy   -0.873 eV/atom

=====

DFT (PBE-GGA) results for Dy2TmAu4 after structural relaxation.

Cell and atoms, written as POSCAR:
```
Dy2TmAu4
1.0
-2.5690 2.5690 6.4390
2.5690 -2.5690 6.4390
2.5690 2.5690 -6.4390
Dy Tm Au
2 1 4
Direct
0.2269 0.2269 0.0000 Dy
0.7731 0.7731 0.0000 Dy
0.5000 0.5000 0.0000 Tm
0.1189 0.6189 0.5000 Au
0.3811 0.8811 0.5000 Au
0.6189 0.1189 0.5000 Au
0.8811 0.3811 0.5000 Au
```

Output
Total DFT energy (no corrections)   -31.79 eV/cell
Volume   24.28 A^3/atom
Space group   No. 139
Energy relative to the lowest polymorph listed for this composition   0.000 eV/atom
Crystal system   tetragonal
Theoretical density   12.5 g/cm3
DFT formation energy   -0.716 eV/atom

=====

Question: What is the theoretical density in the ninth record?
Answer: 11.3 g/cm3

=====

Question: Among the records above, which one has the lowest volume?
Answer: DyTm2Au6

=====

Question: What is the formula in the eighth record?
Answer: DyTm2Au6